[1]
Density functional theory data (PBE) for a geometry-optimized Cs4HoEr3Te8 structure.

Lattice parameters (Å, degrees): 9.059 10.333 9.058 116.00 120.00 90.00
Fractional positions:
Cs 0.500 0.000 0.000
Cs 0.500 0.000 0.500
Cs 0.000 0.000 0.000
Cs 0.000 0.000 0.500
Ho 0.000 0.500 0.000
Er 0.500 0.500 0.000
Er 0.500 0.500 0.500
Er 0.000 0.500 0.500
Te 0.230 0.688 0.959
Te 0.230 0.688 0.460
Te 0.271 0.312 0.541
Te 0.729 0.688 0.959
Te 0.271 0.312 0.041
Te 0.729 0.688 0.459
Te 0.770 0.312 0.540
Te 0.770 0.312 0.041

Computed properties:
Space group ... R-3m, No. 166
E ... -4.30 eV/atom
E_form (uncorrected) ... -2117 kJ/mol of formula units

[2]
Density functional theory data (PBE) for a geometry-optimized Rb2UI4F2 structure.

Lattice parameters (Å, degrees): 6.479 7.913 7.913 66.55 89.28 89.28
Last column: magnetic moment on the atom in μB.
Fractional positions:
Rb 0.233 0.651 0.651  0.00
Rb 0.767 0.349 0.349  0.00
U 0.500 0.000 0.000  2.05
I 0.267 0.629 0.142  -0.01
I 0.733 0.858 0.371  -0.01
I 0.733 0.371 0.858  -0.01
I 0.267 0.142 0.629  -0.01
F 0.279 0.112 0.112  -0.04
F 0.721 0.888 0.888  -0.04

Computed properties:
Space group ... C2/m, No. 12
E ... -4.47 eV/atom
E_form (uncorrected) ... -1645 kJ/mol of formula units

[3]
Density functional theory data (PBE) for a geometry-optimized GeHBr3 structure.

Lattice parameters (Å, degrees): 4.307 9.426 9.333 113.49 74.42 86.17
Fractional positions:
Ge 0.314 0.823 0.314
Ge 0.686 0.177 0.686
H 0.293 0.387 0.140
H 0.707 0.613 0.860
Br 0.942 0.619 0.294
Br 0.058 0.381 0.706
Br 0.528 0.234 0.055
Br 0.139 0.943 0.647
Br 0.472 0.766 0.945
Br 0.861 0.057 0.353

Computed properties:
Space group ... P-1, No. 2
E ... -3.02 eV/atom

[4]
Density functional theory data (PBE) for a geometry-optimized PmSm2Dy6Tm structure.

Lattice parameters (Å, degrees): 9.636 8.777 8.777 117.95 94.23 94.23
Fractional positions:
Pm 0.250 0.980 0.020
Pm 0.750 0.020 0.980
Sm 0.456 0.803 0.700
Sm 0.044 0.300 0.197
Sm 0.544 0.197 0.300
Sm 0.956 0.700 0.803
Dy 0.057 0.124 0.745
Dy 0.443 0.255 0.876
Dy 0.943 0.876 0.255
Dy 0.557 0.745 0.124
Dy 0.314 0.982 0.429
Dy 0.186 0.571 0.018
Dy 0.686 0.018 0.571
Dy 0.814 0.429 0.982
Dy 0.119 0.707 0.494
Dy 0.381 0.506 0.293
Dy 0.881 0.293 0.506
Dy 0.619 0.494 0.707
Tm 0.250 0.408 0.592
Tm 0.750 0.592 0.408

Computed properties:
Space group ... C2/c, No. 15
ΔH_f (0 K) ... 0.116 eV per atom
E ... -4.51 eV/atom

[5]
Density functional theory data (PBE) for a geometry-optimized TbBOs structure.

Lattice parameters (Å, degrees): 3.016 3.016 5.449 106.06 106.06 90.00
Fractional positions:
Tb 0.004 0.004 0.009
B 0.712 0.712 0.424
Os 0.284 0.284 0.567

Computed properties:
Space group ... I4mm, No. 107
ΔH_f (0 K) ... -0.099 eV per atom
E ... -7.61 eV/atom

[6]
Density functional theory data (PBE) for a geometry-optimized NaMn3Sb structure.

Lattice parameters (Å, degrees): 5.087 5.087 5.087 90.00 90.00 90.00
Last column: magnetic moment on the atom in μB.
Fractional positions:
Sb 0.000 0.000 0.000  -0.10
Mn 0.000 0.500 0.000  3.71
Mn 0.000 0.000 0.500  3.76
Mn 0.500 0.000 0.000  3.75
Na 0.500 0.500 0.500  -0.04

Computed properties:
Space group ... Pm-3m, No. 221
E ... -5.71 eV/atom
E_form (uncorrected) ... 423 kJ/mol of formula units

> What is the E in the fourth record?

-4.51 eV/atom